Density functional theory data (PBE+U) for a geometry-optimized Na4MnGa3O8 structure.

Output
The value obtained for the total energy is -89.73 eV/cell. The calculation puts the spin magnetization at 4.00 μB per formula unit. The calculation puts the volume at 173.1 Å³ per cell.

Unit cell a=6.164 b=6.461 c=6.043 alpha=118.13 beta=120.66 gamma=90.00
Atoms (fractional coordinates):
Na 0.500 0.000 0.000
Na 0.500 0.000 0.500
Na 0.000 0.000 0.000
Na 0.000 0.000 0.500
Mn 0.000 0.500 0.000
Ga 0.500 0.500 0.000
Ga 0.500 0.500 0.500
Ga 0.000 0.500 0.500
O 0.239 0.701 0.961
O 0.225 0.695 0.450
O 0.266 0.301 0.532
O 0.722 0.701 0.961
O 0.278 0.299 0.039
O 0.734 0.699 0.468
O 0.775 0.305 0.550
O 0.761 0.299 0.039